Material: LiNdTc2N4
Method: DFT, PBE
State: relaxed

Lattice parameters (Å, degrees): 5.080 5.080 5.080 113.54 113.54 101.61
Fractional coordinates of all 8 atoms:
Tc: 0.625 0.125 0.500
Tc: 0.125 0.625 0.500
N: 0.877 0.374 0.000
N: 0.374 0.877 0.000
N: 0.872 0.872 0.497
N: 0.375 0.375 0.503
Nd: 0.875 0.875 0.000
Li: 0.374 0.374 0.000

Results
Energy in eV per atom: -8.018
Total magnetic moment in μB per cell: 0.0


Material: LiNdTcN3
Method: DFT, PBE
State: relaxed

Lattice parameters (Å, degrees): 3.381 6.049 8.063 90.00 90.00 106.23
Fractional coordinates of all 12 atoms:
Li: 0.000 0.000 0.000
Li: 0.000 0.000 0.500
N: 0.044 0.088 0.750
N: 0.645 0.289 0.066
N: 0.355 0.711 0.566
N: 0.645 0.289 0.434
N: 0.956 0.912 0.250
N: 0.355 0.711 0.934
Nd: 0.703 0.405 0.750
Nd: 0.297 0.595 0.250
Tc: 0.443 0.885 0.750
Tc: 0.557 0.115 0.250

Results
Energy in eV per atom: -7.540
Total magnetic moment in μB per cell: 0.0


Material: LiNd2ThN4
Method: DFT, PBE
State: relaxed

Lattice parameters (Å, degrees): 3.565 6.160 11.587 90.00 90.00 106.82
Fractional coordinates of all 16 atoms:
N: 0.282 0.564 0.133
N: 0.000 0.000 0.500
N: 0.282 0.564 0.367
N: 0.718 0.436 0.867
N: 0.000 0.000 0.000
N: 0.543 0.086 0.250
N: 0.457 0.914 0.750
N: 0.718 0.436 0.633
Nd: 0.370 0.739 0.556
Nd: 0.630 0.261 0.056
Nd: 0.370 0.739 0.944
Nd: 0.630 0.261 0.444
Th: 0.106 0.212 0.750
Th: 0.894 0.788 0.250
Li: 0.158 0.316 0.250
Li: 0.842 0.684 0.750

Results
Energy in eV per atom: -7.577
Total magnetic moment in μB per cell: 0.0


Material: LiNdU2N4
Method: DFT, PBE
State: relaxed

Lattice parameters (Å, degrees): 3.528 5.902 11.222 90.00 90.00 107.39
Each line ends with the local moment (μB).
Fractional coordinates of all 16 atoms:
N: 0.000 0.000 0.000  -0.10
N: 0.262 0.524 0.108  -0.07
N: 0.559 0.118 0.250  -0.06
N: 0.738 0.476 0.608  -0.07
N: 0.738 0.476 0.892  -0.07
N: 0.000 0.000 0.500  -0.10
N: 0.262 0.524 0.392  -0.07
N: 0.441 0.882 0.750  -0.06
U: 0.628 0.257 0.058  1.65
U: 0.372 0.743 0.558  1.65
U: 0.628 0.257 0.442  1.65
U: 0.372 0.743 0.942  1.65
Nd: 0.894 0.789 0.250  0.06
Nd: 0.106 0.211 0.750  0.06
Li: 0.838 0.676 0.750  0.01
Li: 0.162 0.324 0.250  0.01

Results
Energy in eV per atom: -9.050
Total magnetic moment in μB per cell: 6.9


Material: LiNdUN3
Method: DFT, PBE
State: relaxed

Lattice parameters (Å, degrees): 3.488 7.165 6.998 103.23 90.00 90.00
Each line ends with the local moment (μB).
Fractional coordinates of all 12 atoms:
N: 0.750 0.206 0.529  -0.02
N: 0.250 0.120 0.862  -0.02
N: 0.750 0.426 0.132  -0.03
N: 0.250 0.794 0.471  -0.02
N: 0.250 0.574 0.868  -0.03
N: 0.750 0.880 0.138  -0.02
Li: 0.250 0.073 0.583  0.00
Li: 0.750 0.927 0.417  0.00
U: 0.750 0.327 0.824  0.59
U: 0.250 0.673 0.176  0.59
Nd: 0.250 0.182 0.218  0.02
Nd: 0.750 0.818 0.782  0.02

Results
Energy in eV per atom: -8.309
Total magnetic moment in μB per cell: 1.2


Material: LiNd2UN4
Method: DFT, PBE
State: relaxed

Lattice parameters (Å, degrees): 3.611 5.865 5.999 107.11 90.00 90.00
Fractional coordinates of all 8 atoms:
Nd: 0.000 0.500 0.500
Nd: 0.500 0.000 0.500
N: 0.000 0.266 0.775
N: 0.500 0.703 0.771
N: 0.500 0.297 0.229
N: 0.000 0.734 0.225
Li: 0.000 0.000 0.000
U: 0.500 0.500 0.000

Results
Energy in eV per atom: -8.143
Total magnetic moment in μB per cell: 0.0


Material: LiNdZnN2
Method: DFT, PBE
State: relaxed

Lattice parameters (Å, degrees): 3.872 5.698 6.401 96.27 90.00 90.00
Fractional coordinates of all 10 atoms:
Zn: 0.000 0.000 0.000
Zn: 0.000 0.000 0.500
Nd: 0.747 0.500 0.250
Nd: 0.253 0.500 0.750
Li: 0.476 0.000 0.250
Li: 0.524 0.000 0.750
N: 0.715 0.739 0.938
N: 0.285 0.739 0.438
N: 0.285 0.261 0.062
N: 0.715 0.261 0.562

Results
Energy in eV per atom: -5.511
Total magnetic moment in μB per cell: 0.0


Material: LiNdZr2N4
Method: DFT, PBE
State: relaxed

Lattice parameters (Å, degrees): 3.320 5.685 11.129 90.00 90.00 106.98
Fractional coordinates of all 16 atoms:
N: 0.559 0.118 0.250
N: 0.441 0.882 0.750
N: 0.263 0.525 0.389
N: 0.737 0.475 0.889
N: 0.000 0.000 0.000
N: 0.737 0.475 0.611
N: 0.000 0.000 0.500
N: 0.263 0.525 0.111
Nd: 0.894 0.788 0.250
Nd: 0.106 0.212 0.750
Zr: 0.634 0.268 0.443
Zr: 0.366 0.732 0.557
Zr: 0.634 0.268 0.057
Zr: 0.366 0.732 0.943
Li: 0.841 0.682 0.750
Li: 0.159 0.318 0.250

Results
Energy in eV per atom: -8.544
Total magnetic moment in μB per cell: 0.0


Number 1: formation energy without anion corrections -0.428 eV per atom. Number 2: formation energy without anion corrections -0.536 eV per atom. Number 3: formation energy without anion corrections -1.055 eV per atom. Number 4: formation energy without anion corrections -1.230 eV per atom. Number 5: formation energy without anion corrections -1.151 eV per atom. Number 6: formation energy without anion corrections -1.138 eV per atom. Number 7: formation energy without anion corrections -0.590 eV per atom. Number 8: formation energy without anion corrections -1.409 eV per atom.